Entry 1:
Material: AlTcP2
Method: DFT, PBE
State: relaxed

Calculated volume in Å³ per atom: 13.7
M_tot in μB/f.u.: 0.00
Energy of formation from the pure elements in meV per atom: -17.8

Structure (CIF):
```
data_AlTcP2
_cell_length_a 3.119
_cell_length_b 4.445
_cell_length_c 7.926
_cell_angle_alpha 90.00
_cell_angle_beta 90.00
_cell_angle_gamma 90.00
_space_group_name_H-M_alt 'I m m 2'
_space_group_IT_number 44
loop_
_space_group_symop_operation_xyz
'x,y,z'
'-x,-y,z'
'-x,y,z'
'x,-y,z'
'x+1/2,y+1/2,z+1/2'
'-x+1/2,-y+1/2,z+1/2'
'-x+1/2,y+1/2,z+1/2'
'x+1/2,-y+1/2,z+1/2'
loop_
_atom_site_label
_atom_site_fract_x
_atom_site_fract_y
_atom_site_fract_z
Al1 0.000 0.000 0.000
Tc1 0.000 0.500 0.215
P1 0.000 0.000 0.471
P2 0.000 0.500 0.744
```

---

Entry 2:
Material: Al2TcP
Method: DFT, PBE
State: relaxed

Calculated volume in Å³ per atom: 15.0
M_tot in μB/f.u.: 0.00
Energy of formation from the pure elements in meV per atom: -263.1

Structure (CIF):
```
data_Al2TcP
_cell_length_a 3.028
_cell_length_b 3.028
_cell_length_c 6.564
_cell_angle_alpha 90.00
_cell_angle_beta 90.00
_cell_angle_gamma 90.00
_space_group_name_H-M_alt 'P 4 m m'
_space_group_IT_number 99
loop_
_space_group_symop_operation_xyz
'x,y,z'
'-y,x,z'
'-x,-y,z'
'y,-x,z'
'-x,y,z'
'y,x,z'
'x,-y,z'
'-y,-x,z'
loop_
_atom_site_label
_atom_site_fract_x
_atom_site_fract_y
_atom_site_fract_z
Al1 0.000 0.000 0.000
Al2 0.500 0.500 0.297
Tc1 0.500 0.500 0.734
P1 0.000 0.000 0.566
```

---

Entry 3:
Material: Al2TcP
Method: DFT, PBE
State: relaxed

Calculated volume in Å³ per atom: 14.9
M_tot in μB/f.u.: 0.00
Energy of formation from the pure elements in meV per atom: 24.1

Structure (CIF):
```
data_Al2TcP
_cell_length_a 2.825
_cell_length_b 2.825
_cell_length_c 7.481
_cell_angle_alpha 90.00
_cell_angle_beta 90.00
_cell_angle_gamma 90.00
_space_group_name_H-M_alt 'P 4/m m m'
_space_group_IT_number 123
_space_group_name_Hall '-P 4 2'
loop_
_atom_site_label
_atom_site_fract_x
_atom_site_fract_y
_atom_site_fract_z
Al1 0.000 0.000 0.237
Tc1 0.500 0.500 0.000
P1 0.500 0.500 0.500
```

---

Entry 4:
Material: Al2TcP
Method: DFT, PBE
State: relaxed

Calculated volume in Å³ per atom: 14.0
M_tot in μB/f.u.: 0.00
Energy of formation from the pure elements in meV per atom: -174.2

Structure (CIF):
```
data_Al2TcP
_cell_length_a 3.305
_cell_length_b 4.174
_cell_length_c 8.101
_cell_angle_alpha 90.00
_cell_angle_beta 90.00
_cell_angle_gamma 90.00
_space_group_name_H-M_alt 'I m m m'
_space_group_IT_number 71
_space_group_name_Hall '-I 2 2'
loop_
_atom_site_label
_atom_site_fract_x
_atom_site_fract_y
_atom_site_fract_z
Al1 0.000 0.000 0.237
Tc1 0.000 0.500 0.000
P1 0.000 0.500 0.500
```

---

Entry 5:
Material: AlTcP2
Method: DFT, PBE
State: relaxed

Calculated volume in Å³ per atom: 14.9
M_tot in μB/f.u.: 0.00
Energy of formation from the pure elements in meV per atom: 156.3

Structure (CIF):
```
data_AlTcP2
_cell_length_a 3.213
_cell_length_b 4.988
_cell_length_c 7.419
_cell_angle_alpha 90.00
_cell_angle_beta 90.00
_cell_angle_gamma 90.00
_space_group_name_H-M_alt 'C m m m'
_space_group_IT_number 65
_space_group_name_Hall '-C 2 2'
loop_
_atom_site_label
_atom_site_fract_x
_atom_site_fract_y
_atom_site_fract_z
Al1 0.000 0.000 0.000
Tc1 0.000 0.000 0.500
P1 0.000 0.500 0.257
```

---

Entry 6:
Material: AlV2TcP
Method: DFT, PBE
State: relaxed

Calculated volume in Å³ per atom: 16.3
M_tot in μB/f.u.: 1.37
Energy of formation from the pure elements in meV per atom: 175.3

Structure (CIF):
```
data_AlV2TcP
_cell_length_a 4.306
_cell_length_b 4.306
_cell_length_c 4.386
_cell_angle_alpha 90.00
_cell_angle_beta 90.00
_cell_angle_gamma 90.00
_space_group_name_H-M_alt 'P 4/m m m'
_space_group_IT_number 123
_space_group_name_Hall '-P 4 2'
loop_
_atom_site_label
_atom_site_fract_x
_atom_site_fract_y
_atom_site_fract_z
Al1 0.000 0.000 0.000
V1 0.000 0.500 0.500
Tc1 0.500 0.500 0.000
P1 0.500 0.500 0.500
```